# HoTm2Mg3 GGA-PBE relaxed
# calculated total energy = -18.7 eV/f.u.
data_HoTm2Mg3
_symmetry_space_group_name_H-M 'P 4/m m m'
_symmetry_Int_Tables_number 123
_symmetry_space_group_name_Hall '-P 4 2'
_cell_length_a 3.762
_cell_length_b 3.762
_cell_length_c 11.265
_cell_angle_alpha 90.00
_cell_angle_beta 90.00
_cell_angle_gamma 90.00
loop_
_atom_site_label
_atom_site_fract_x
_atom_site_fract_y
_atom_site_fract_z
Ho1 0.000 0.000 0.000
Tm1 0.000 0.000 0.334
Mg1 0.500 0.500 0.168
Mg2 0.500 0.500 0.500

---

# Ho3TmMg7 GGA-PBE relaxed
# calculated total energy = -27.1 eV/f.u.
# relative energy among the computed polymorphs = 111.3 meV/atom
data_Ho3TmMg7
_symmetry_space_group_name_H-M 'C 1 2/m 1'
_symmetry_Int_Tables_number 12
_symmetry_space_group_name_Hall '-C 2y'
_cell_length_a 10.749
_cell_length_b 10.225
_cell_length_c 6.010
_cell_angle_alpha 90.00
_cell_angle_beta 108.61
_cell_angle_gamma 90.00
loop_
_atom_site_label
_atom_site_fract_x
_atom_site_fract_y
_atom_site_fract_z
Ho1 0.000 0.000 0.000
Ho2 0.000 0.194 0.500
Tm1 0.000 0.500 0.000
Mg1 0.000 0.500 0.500
Mg2 0.189 0.245 0.185
Mg3 0.237 0.000 0.524

---

# Ho3TmMg8 GGA-PBE relaxed
# calculated total energy = -31.7 eV/f.u.
data_Ho3TmMg8
_symmetry_space_group_name_H-M 'P 3 m 1'
_symmetry_Int_Tables_number 156
_symmetry_space_group_name_Hall 'P 3 -2"'
_cell_length_a 6.0423
_cell_length_b 6.0423
_cell_length_c 9.7185
_cell_angle_alpha 90.00
_cell_angle_beta 90.00
_cell_angle_gamma 120.00
loop_
_atom_site_label
_atom_site_fract_x
_atom_site_fract_y
_atom_site_fract_z
Ho1 0.0000 0.0000 0.0000
Ho2 0.0000 0.0000 0.3721
Ho3 0.3333 0.6667 0.8702
Tm1 0.3333 0.6667 0.4986
Mg1 0.0084 0.5042 0.1855
Mg2 0.3251 0.1625 0.6850
Mg3 0.6667 0.3333 0.4352
Mg4 0.6667 0.3333 0.9351

---

# Ho4Tm7Mg GGA-PBE relaxed
# calculated total energy = -50.9 eV/f.u.
# relative energy among the computed polymorphs = 0.0 meV/atom
data_Ho4Tm7Mg
_symmetry_space_group_name_H-M 'P -3 m 1'
_symmetry_Int_Tables_number 164
_symmetry_space_group_name_Hall '-P 3 2"'
_cell_length_a 3.4967
_cell_length_b 3.4967
_cell_length_c 33.8843
_cell_angle_alpha 90.00
_cell_angle_beta 90.00
_cell_angle_gamma 120.00
loop_
_atom_site_label
_atom_site_fract_x
_atom_site_fract_y
_atom_site_fract_z
Ho1 0.3333 0.6667 0.1627
Ho2 0.3333 0.6667 0.4155
Tm1 0.0000 0.0000 0.2470
Tm2 0.0000 0.0000 0.5000
Tm3 0.3333 0.6667 0.6690
Tm4 0.3333 0.6667 0.9213
Mg1 0.0000 0.0000 0.0000

---

# Ho2Tm2Mg15 GGA-PBE relaxed
# calculated total energy = -41.3 eV/f.u.
data_Ho2Tm2Mg15
_symmetry_space_group_name_H-M 'R -3 m'
_symmetry_Int_Tables_number 166
_symmetry_space_group_name_Hall '-R 3 2"'
_cell_length_a 10.4019
_cell_length_b 10.4019
_cell_length_c 15.3251
_cell_angle_alpha 90.00
_cell_angle_beta 90.00
_cell_angle_gamma 120.00
loop_
_atom_site_label
_atom_site_fract_x
_atom_site_fract_y
_atom_site_fract_z
Ho1 0.0000 0.0000 0.1730
Tm1 0.0000 0.0000 0.3993
Mg1 0.0000 0.2990 0.5000
Mg2 0.0000 0.5000 0.0000
Mg3 0.0095 0.5048 0.6467

---

# Ho2Tm5Mg GGA-PBE relaxed
# calculated total energy = -32.9 eV/f.u.
# relative energy among the computed polymorphs = 0.0 meV/atom
data_Ho2Tm5Mg
_symmetry_space_group_name_H-M 'I 4/m m m'
_symmetry_Int_Tables_number 139
_symmetry_space_group_name_Hall '-I 4 2'
_cell_length_a 6.922
_cell_length_b 6.922
_cell_length_c 9.842
_cell_angle_alpha 90.00
_cell_angle_beta 90.00
_cell_angle_gamma 90.00
loop_
_atom_site_label
_atom_site_fract_x
_atom_site_fract_y
_atom_site_fract_z
Ho1 0.000 0.500 0.000
Tm1 0.000 0.000 0.000
Tm2 0.250 0.250 0.250
Mg1 0.000 0.000 0.500

---

# HoTm2Mg GGA-PBE relaxed
# calculated total energy = -14.8 eV/f.u.
# relative energy among the computed polymorphs = 95.6 meV/atom
data_HoTm2Mg
_symmetry_space_group_name_H-M 'F m -3 m'
_symmetry_Int_Tables_number 225
_symmetry_space_group_name_Hall '-F 4 2 3'
_cell_length_a 7.698
_cell_length_b 7.698
_cell_length_c 7.698
_cell_angle_alpha 90.00
_cell_angle_beta 90.00
_cell_angle_gamma 90.00
loop_
_atom_site_label
_atom_site_fract_x
_atom_site_fract_y
_atom_site_fract_z
Ho1 0.000 0.000 0.000
Tm1 0.250 0.250 0.250
Mg1 0.000 0.000 0.500

---

# Ho2Tm9Mg GGA-PBE relaxed
# calculated total energy = -50.7 eV/f.u.
data_Ho2Tm9Mg
_symmetry_space_group_name_H-M 'P 4/m m m'
_symmetry_Int_Tables_number 123
_symmetry_space_group_name_Hall '-P 4 2'
_cell_length_a 4.912
_cell_length_b 4.912
_cell_length_c 14.778
_cell_angle_alpha 90.00
_cell_angle_beta 90.00
_cell_angle_gamma 90.00
loop_
_atom_site_label
_atom_site_fract_x
_atom_site_fract_y
_atom_site_fract_z
Ho1 0.000 0.000 0.167
Tm1 0.000 0.500 0.000
Tm2 0.000 0.500 0.335
Tm3 0.500 0.500 0.171
Tm4 0.500 0.500 0.500
Mg1 0.000 0.000 0.500

---

> Look up the calculated total energy of the third one.

-31.7 eV/f.u.